Ti2Co2Au | meta-GGA SCAN | single point on PBEsol structure

Geometry as POSCAR:
```
Ti2Co2Au
1.0
2.883 0.000 0.000
0.000 6.804 0.000
0.000 0.000 6.804
Co Ti Au
4 4 2
Direct
0.000 0.367 0.867
0.000 0.633 0.133
0.000 0.133 0.367
0.000 0.867 0.633
0.500 0.337 0.163
0.500 0.163 0.663
0.500 0.663 0.837
0.500 0.837 0.337
0.000 0.000 0.000
0.000 0.500 0.500
```

Computed properties:
The value obtained for the formation energy is -0.40 eV/atom.

AgWS2Cl | meta-GGA SCAN | single point on PBEsol structure

Geometry as POSCAR:
```
AgWS2Cl
1.0
-2.650 1.865 3.213
0.800 -3.749 2.835
3.799 2.210 1.849
W S Ag Cl
1 2 1 1
Direct
0.500 0.500 0.500
0.000 0.500 0.000
0.000 0.000 0.500
0.000 0.000 0.000
0.500 0.000 0.000
```

Computed properties:
The formation energy without anion corrections is 1.33 eV/atom.

Mg2Zn2Cd | meta-GGA SCAN | single point on PBEsol structure

Geometry as POSCAR:
```
Mg2Zn2Cd
1.0
-2.813 -0.564 -2.614
-0.863 -6.480 2.327
-4.702 2.268 4.571
Cd Mg Zn
2 4 4
Direct
0.000 0.000 0.000
0.000 0.500 0.500
0.500 0.168 0.668
0.500 0.332 0.168
0.500 0.832 0.332
0.500 0.668 0.832
0.000 0.372 0.872
0.000 0.872 0.628
0.000 0.128 0.372
0.000 0.628 0.128
```

Computed properties:
The value obtained for the formation energy is -0.12 eV/atom.

FeOsRu3 | meta-GGA SCAN | single point on PBEsol structure

Geometry as POSCAR:
```
FeOsRu3
1.0
-2.224 -1.352 -3.340
3.223 -2.503 -1.133
-1.612 -3.137 2.344
Ru Os Fe
3 1 1
Direct
0.000 0.500 0.000
0.000 0.000 0.500
0.500 0.000 0.000
0.500 0.500 0.500
0.000 0.000 0.000
```

Computed properties:
The value obtained for the formation energy is 1.83 eV/atom. The calculation puts the energy above the most stable polymorph in this dataset at 0 meV per atom.

Al2Cu8Si | meta-GGA SCAN | single point on PBEsol structure

Geometry as POSCAR:
```
Al2Cu8Si
1.0
-2.007 -1.403 -2.781
1.697 -3.266 0.423
-6.988 -2.795 6.453
Cu Si Al
8 1 2
Direct
0.500 0.000 0.856
0.500 0.500 0.324
0.000 0.500 0.500
0.000 0.500 0.144
0.500 0.500 0.676
0.500 0.000 0.500
0.000 0.500 0.856
0.500 0.000 0.144
0.000 0.000 0.000
0.000 0.000 0.321
0.000 0.000 0.679
```

Computed properties:
The formation energy without anion corrections is -0.15 eV/atom.

Y2Au | meta-GGA SCAN | single point on PBEsol structure

Geometry as POSCAR:
```
Y2Au
1.0
-0.791 -4.910 -8.070
7.753 -2.188 -4.996
3.004 -8.982 -0.397
Y Au
16 8
Direct
0.687 0.687 0.313
0.125 0.125 0.625
0.625 0.125 0.125
0.937 0.563 0.937
0.937 0.563 0.563
0.563 0.937 0.937
0.313 0.687 0.313
0.563 0.937 0.563
0.937 0.937 0.563
0.687 0.313 0.687
0.125 0.625 0.125
0.563 0.563 0.937
0.687 0.313 0.313
0.125 0.125 0.125
0.313 0.313 0.687
0.313 0.687 0.687
0.903 0.290 0.903
0.290 0.903 0.903
0.347 0.347 0.960
0.347 0.960 0.347
0.347 0.347 0.347
0.903 0.903 0.290
0.903 0.903 0.903
0.960 0.347 0.347
```

Computed properties:
The value obtained for the formation energy is -0.83 eV/atom.

Li4Mn3CuO8 | meta-GGA SCAN | single point on PBEsol structure

Geometry as POSCAR:
```
Li4Mn3CuO8
1.0
5.762 0.042 0.030
2.906 4.976 0.030
2.906 1.682 4.683
Mn Cu Li O
3 1 4 8
Direct
0.500 0.000 0.500
0.000 0.500 0.500
0.500 0.500 0.000
0.000 0.000 0.000
0.000 0.500 0.000
0.000 0.000 0.500
0.500 0.500 0.500
0.500 0.000 0.000
0.253 0.253 0.722
0.259 0.259 0.259
0.747 0.747 0.278
0.253 0.722 0.253
0.722 0.253 0.253
0.278 0.747 0.747
0.741 0.741 0.741
0.747 0.278 0.747
```

Computed properties:
The formation energy without anion corrections is -2.02 eV/atom.

FePPdSe2 | meta-GGA SCAN | single point on PBEsol structure

Geometry as POSCAR:
```
FePPdSe2
1.0
4.328 0.000 0.000
0.000 5.010 0.000
0.000 0.000 5.010
Se Pd Fe P
2 1 1 1
Direct
0.000 0.000 0.500
0.000 0.500 0.000
0.000 0.000 0.000
0.500 0.500 0.500
0.500 0.000 0.000
```

Computed properties:
The formation energy without anion corrections is 0.75 eV/atom.

LiSc2ZnGe | meta-GGA SCAN | single point on PBEsol structure

Geometry as POSCAR:
```
LiSc2ZnGe
1.0
-1.309 3.915 -2.088
1.463 -1.910 -4.498
-4.669 -1.933 -0.698
Ge Sc Zn Li
1 2 1 1
Direct
0.000 0.000 0.000
0.000 0.000 0.500
0.000 0.500 0.000
0.500 0.000 0.000
0.500 0.500 0.500
```

Computed properties:
The value obtained for the formation energy is 0.07 eV/atom.

Al2PtAu | meta-GGA SCAN | single point on PBEsol structure

Geometry as POSCAR:
```
Al2PtAu
1.0
3.437 0.000 0.000
0.000 3.437 0.000
0.000 0.000 5.261
Al Au Pt
2 1 1
Direct
0.500 0.500 0.277
0.000 0.000 0.965
0.000 0.000 0.462
0.500 0.500 0.796
```

Computed properties:
The value obtained for the formation energy is -0.89 eV/atom. The calculation puts the energy above the most stable polymorph in this dataset at 0 meV per atom.

RbInP2S | meta-GGA SCAN | single point on PBEsol structure

Geometry as POSCAR:
```
RbInP2S
1.0
5.096 0.000 0.000
0.000 5.096 0.000
0.000 0.000 5.243
Rb S P In
1 1 2 1
Direct
0.500 0.500 0.500
0.000 0.000 0.500
0.000 0.500 0.000
0.500 0.000 0.000
0.000 0.000 0.000
```

Computed properties:
The formation energy without anion corrections is 0.31 eV/atom.

NbSi3Bi | meta-GGA SCAN | single point on PBEsol structure

Geometry as POSCAR:
```
NbSi3Bi
1.0
4.878 0.000 0.000
0.000 4.878 0.000
0.000 0.000 4.878
Si Nb Bi
3 1 1
Direct
0.000 0.000 0.500
0.000 0.500 0.000
0.500 0.000 0.000
0.000 0.000 0.000
0.500 0.500 0.500
```

Computed properties:
The formation energy without anion corrections is 0.82 eV/atom. The calculation puts the energy above the most stable polymorph in this dataset at 0 meV per atom.

| no. | calculated density (g cm⁻³) |
| --- | --- |
| 1 | 10.22 |
| 2 | 6.26 |
| 3 | 5.19 |
| 4 | 12.01 |
| 5 | 7.20 |
| 6 | 8.27 |
| 7 | 4.79 |
| 8 | 5.37 |
| 9 | 3.24 |
| 10 | 11.92 |
| 11 | 3.59 |
| 12 | 5.53 |